[1]
This record from the Alexandria database describes crystalline Pm4Mg5Tl6 at its relaxed geometry. The functional is PBE.

Results
Its space group is Cmc2_1, No. 36. For the energy of formation from the pure elements, the calculation gives -0.230 eV per atom.

The structure in POSCAR format:
```
Pm4Mg5Tl6
1.0
2.4120 -10.9850 0.0000
2.4120 10.9850 0.0000
0.0000 0.0000 15.5707
Pm Mg Tl
8 10 12
direct
0.0388 0.9612 0.5000
0.0423 0.9577 0.7693
0.1482 0.8518 0.2898
0.1770 0.8230 0.9416
0.8230 0.1770 0.4416
0.8518 0.1482 0.7898
0.9577 0.0423 0.2693
0.9612 0.0388 0.0000
0.1662 0.8338 0.6313
0.3196 0.6804 0.6101
0.3276 0.6724 0.2802
0.3424 0.6576 0.9690
0.4588 0.5412 0.6640
0.5412 0.4588 0.1640
0.6576 0.3424 0.4690
0.6724 0.3276 0.7802
0.6804 0.3196 0.1101
0.8338 0.1662 0.1313
0.0916 0.9084 0.1007
0.2303 0.7697 0.4649
0.2544 0.7456 0.7728
0.4145 0.5855 0.1319
0.4255 0.5745 0.4329
0.4461 0.5539 0.8507
0.5539 0.4461 0.3507
0.5745 0.4255 0.9329
0.5855 0.4145 0.6319
0.7456 0.2544 0.2728
0.7697 0.2303 0.9649
0.9084 0.0916 0.6007
```

[2]
This record from the Alexandria database describes crystalline Sc4AlIr5 at its relaxed geometry. The functional is PBE.

Results
Its space group is P4/mmm, No. 123. For the energy of formation from the pure elements, the calculation gives -0.987 eV per atom.

The structure in POSCAR format:
```
Sc4AlIr5
1.0
3.1100 0.0000 0.0000
0.0000 3.1100 0.0000
0.0000 0.0000 16.7487
Sc Al Ir
4 1 5
direct
0.0000 0.0000 0.1023
0.0000 0.0000 0.3068
0.0000 0.0000 0.6932
0.0000 0.0000 0.8977
0.0000 0.0000 0.5000
0.5000 0.5000 0.0000
0.5000 0.5000 0.2052
0.5000 0.5000 0.4117
0.5000 0.5000 0.5883
0.5000 0.5000 0.7948
```

[3]
This record from the Alexandria database describes crystalline Nb7Tc2Mo3 at its relaxed geometry. The functional is PBE.

Results
Its space group is Cmmm, No. 65. For the energy of formation from the pure elements, the calculation gives 0.306 eV per atom.

The structure in POSCAR format:
```
Nb7Tc2Mo3
1.0
2.2758 -10.9265 0.0000
2.2758 10.9265 0.0000
0.0000 0.0000 4.4973
Nb Tc Mo
7 2 3
direct
0.0000 0.0000 0.0000
0.0781 0.9219 0.5000
0.2860 0.7140 0.0000
0.4254 0.5746 0.0000
0.5746 0.4254 0.0000
0.7140 0.2860 0.0000
0.9219 0.0781 0.5000
0.1480 0.8520 0.0000
0.8520 0.1480 0.0000
0.3516 0.6484 0.5000
0.5000 0.5000 0.5000
0.6484 0.3516 0.5000
```

[4]
This record from the Alexandria database describes crystalline B5C7 at its relaxed geometry. The functional is PBE.

Results
Its space group is Cm, No. 8. As for the energy above the most stable polymorph in this dataset: 0.098 eV per atom. For the energy of formation from the pure elements, the calculation gives 0.356 eV per atom.

The structure in POSCAR format:
```
B5C7
1.0
7.0712 -1.2736 0.0000
7.0712 1.2736 0.0000
-1.3878 0.0000 4.3938
B C
5 7
direct
0.0000 0.0000 0.0000
0.2726 0.2726 0.8871
0.4274 0.4274 0.7605
0.5017 0.5017 0.4195
0.8317 0.8317 0.1584
0.1202 0.1202 0.0902
0.1534 0.1534 0.7836
0.3147 0.3147 0.5922
0.6188 0.6188 0.5889
0.6596 0.6596 0.2888
0.7743 0.7743 0.4174
0.9483 0.9483 0.2811
```

[5]
This record from the Alexandria database describes crystalline Na2In2I7 at its relaxed geometry. The functional is PBE.

Results
Its space group is P2_1/c, No. 14. The value obtained for the uncorrected formation energy is -0.71 eV/atom. As for the energy above the most stable polymorph in this dataset: 0.000 eV per atom.

The structure in POSCAR format:
```
Na2In2I7
1.0
7.8124 0.0000 0.0000
0.0000 15.8062 0.0000
-2.0000 0.0000 9.0125
Na In I
4 4 14
direct
0.1879 0.1785 0.3391
0.1879 0.3215 0.8391
0.8121 0.6785 0.1609
0.8121 0.8215 0.6609
0.3202 0.6057 0.6795
0.3202 0.8943 0.1795
0.6798 0.1057 0.8205
0.6798 0.3943 0.3205
0.0485 0.7038 0.4981
0.0485 0.7962 0.9981
0.1618 0.5182 0.8821
0.1618 0.9818 0.3821
0.4404 0.2271 0.6595
0.4404 0.2729 0.1595
0.5000 0.0000 0.0000
0.5000 0.5000 0.5000
0.5596 0.7271 0.8405
0.5596 0.7729 0.3405
0.8382 0.0182 0.6179
0.8382 0.4818 0.1179
0.9515 0.2038 0.0019
0.9515 0.2962 0.5019
```

[6]
This record from the Alexandria database describes crystalline DyEr2Bi at its relaxed geometry. The functional is PBE.

Results
Its space group is P4/mmm, No. 123. As for the energy above the most stable polymorph in this dataset: 0.047 eV per atom. For the energy of formation from the pure elements, the calculation gives -0.323 eV per atom.

The structure in POSCAR format:
```
DyEr2Bi
1.0
4.0451 0.0000 0.0000
0.0000 4.0451 0.0000
0.0000 0.0000 7.1967
Dy Er Bi
1 2 1
direct
0.0000 0.0000 0.0000
0.5000 0.5000 0.2661
0.5000 0.5000 0.7339
0.0000 0.0000 0.5000
```

[7]
This record from the Alexandria database describes crystalline Be2HRu at its relaxed geometry. The functional is PBE.

Results
Its space group is R-3m, No. 166. As for the energy above the most stable polymorph in this dataset: 0.019 eV per atom.

The structure in POSCAR format:
```
Be2HRu
1.0
1.3677 0.7897 6.3243
-1.3677 0.7897 6.3243
0.0000 -1.5793 6.3243
Be H Ru
2 1 1
direct
0.0765 0.0765 0.0765
0.9235 0.9235 0.9235
0.0000 0.0000 0.0000
0.5000 0.5000 0.5000
```

[8]
This record from the Alexandria database describes crystalline Ba3Si2Sn3 at its relaxed geometry. The functional is PBE.

Results
Its space group is Cmcm, No. 63. The value obtained for the uncorrected formation energy is -0.43 eV/atom.

The structure in POSCAR format:
```
Ba3Si2Sn3
1.0
2.4782 -6.3309 0.0000
2.4782 6.3309 0.0000
0.0000 0.0000 17.2463
Ba Si Sn
6 4 6
direct
0.1135 0.8865 0.7500
0.1456 0.8544 0.0550
0.1456 0.8544 0.4450
0.8544 0.1456 0.5550
0.8544 0.1456 0.9450
0.8865 0.1135 0.2500
0.4074 0.5926 0.6811
0.4074 0.5926 0.8189
0.5926 0.4074 0.1811
0.5926 0.4074 0.3189
0.1725 0.8275 0.2500
0.4337 0.5663 0.0805
0.4337 0.5663 0.4195
0.5663 0.4337 0.5805
0.5663 0.4337 0.9195
0.8275 0.1725 0.7500
```

[9]
This record from the Alexandria database describes crystalline SbTe3 at its relaxed geometry. The functional is PBE.

Results
Its space group is Cmcm, No. 63. The value obtained for the uncorrected formation energy is 0.15 eV/atom. As for the energy above the most stable polymorph in this dataset: 0.144 eV per atom.

The structure in POSCAR format:
```
SbTe3
1.0
4.9998 -6.1529 0.0000
4.9998 6.1529 0.0000
0.0000 0.0000 4.5011
Sb Te
2 6
direct
0.0829 0.9171 0.7500
0.9171 0.0829 0.2500
0.1233 0.4802 0.2500
0.4135 0.5865 0.7500
0.4802 0.1233 0.7500
0.5198 0.8767 0.2500
0.5865 0.4135 0.2500
0.8767 0.5198 0.7500
```

[10]
This record from the Alexandria database describes crystalline Ba2FeAu at its relaxed geometry. The functional is PBE.

Results
Its space group is Amm2, No. 38. As for the energy above the most stable polymorph in this dataset: 0.000 eV per atom. For the energy of formation from the pure elements, the calculation gives -0.001 eV per atom.

The structure in POSCAR format:
```
Ba2FeAu
1.0
4.6637 0.0000 0.0000
0.0000 2.4523 5.9598
0.0000 -2.4523 5.9598
Ba Fe Au
2 1 1
direct
0.0000 0.0000 0.0000
0.5000 0.2886 0.2886
0.0000 0.6861 0.6861
0.5000 0.5917 0.5917
```

[11]
This record from the Alexandria database describes crystalline AlCoCu3 at its relaxed geometry. The functional is PBE.

Results
Its space group is Pm-3m, No. 221. As for the energy above the most stable polymorph in this dataset: 0.125 eV per atom. For the energy of formation from the pure elements, the calculation gives 1.035 eV per atom.

The structure in POSCAR format:
```
AlCoCu3
1.0
4.3791 0.0000 0.0000
0.0000 4.3791 0.0000
0.0000 0.0000 4.3791
Al Co Cu
1 1 3
direct
0.0000 0.0000 0.0000
0.5000 0.5000 0.5000
0.0000 0.0000 0.5000
0.0000 0.5000 0.0000
0.5000 0.0000 0.0000
```

[12]
This record from the Alexandria database describes crystalline Pr4Zn at its relaxed geometry. The functional is PBE.

Results
Its space group is Fdd2, No. 43. As for the energy above the most stable polymorph in this dataset: 0.079 eV per atom. For the energy of formation from the pure elements, the calculation gives -0.036 eV per atom.

The structure in POSCAR format:
```
Pr4Zn
1.0
0.0000 7.6760 3.3275
6.2624 0.0000 3.3275
6.2624 7.6760 0.0000
Pr Zn
8 2
direct
0.0413 0.9587 0.1827
0.0465 0.5102 0.8420
0.0673 0.4327 0.2087
0.4080 0.6486 0.2035
0.4327 0.0673 0.2913
0.5102 0.0465 0.6014
0.6486 0.4080 0.7398
0.9587 0.0413 0.8173
0.6049 0.6049 0.3951
0.8549 0.8549 0.6451
```

[13]
This record from the Alexandria database describes crystalline TiPN3 at its relaxed geometry. The functional is PBE.

Results
Its space group is I-4m2, No. 119. The value obtained for the uncorrected formation energy is -0.02 eV/atom.

The structure in POSCAR format:
```
TiPN3
1.0
-1.7444 1.7444 8.5294
1.7444 -1.7444 8.5294
1.7444 1.7444 -8.5294
Ti P N
2 2 6
direct
0.1156 0.1156 0.0000
0.8844 0.8844 0.0000
0.5000 0.5000 0.0000
0.7500 0.2500 0.5000
0.0447 0.5447 0.5000
0.1309 0.3248 0.8061
0.4553 0.9553 0.5000
0.5187 0.3248 0.1939
0.6752 0.4813 0.8061
0.6752 0.8691 0.1939
```

[14]
This record from the Alexandria database describes crystalline Li2Zn2In at its relaxed geometry. The functional is PBE.

Results
Its space group is C2/c, No. 15. As for the energy above the most stable polymorph in this dataset: 0.000 eV per atom. For the energy of formation from the pure elements, the calculation gives -0.208 eV per atom.

The structure in POSCAR format:
```
Li2Zn2In
1.0
4.9073 -2.2883 0.0000
4.9073 2.2883 0.0000
-2.1909 0.0000 7.5083
Li Zn In
4 4 2
direct
0.0613 0.5651 0.8538
0.4349 0.9387 0.6462
0.5651 0.0613 0.3538
0.9387 0.4349 0.1462
0.1366 0.6331 0.5440
0.3669 0.8634 0.9560
0.6331 0.1366 0.0440
0.8634 0.3669 0.4560
0.2488 0.7512 0.2500
0.7512 0.2488 0.7500
```

[15]
This record from the Alexandria database describes crystalline KRu2Se at its relaxed geometry. The functional is PBE.

Results
Its space group is I4/mmm, No. 139. The value obtained for the uncorrected formation energy is 1.08 eV/atom.

The structure in POSCAR format:
```
KRu2Se
1.0
-2.0084 2.0084 4.6841
2.0084 -2.0084 4.6841
2.0084 2.0084 -4.6841
K Ru Se
1 2 1
direct
0.0000 0.0000 0.0000
0.2500 0.7500 0.5000
0.7500 0.2500 0.5000
0.5000 0.5000 0.0000
```

[16]
This record from the Alexandria database describes crystalline MgNbSi at its relaxed geometry. The functional is PBE.

Results
Its space group is P4/nmm, No. 129. The value obtained for the uncorrected formation energy is -0.30 eV/atom.

The structure in POSCAR format:
```
MgNbSi
1.0
4.0001 0.0000 0.0000
0.0000 4.0001 0.0000
0.0000 0.0000 6.9556
Mg Nb Si
2 2 2
direct
0.2500 0.2500 0.1532
0.7500 0.7500 0.8468
0.2500 0.7500 0.5000
0.7500 0.2500 0.5000
0.2500 0.2500 0.7603
0.7500 0.7500 0.2397
```

[17]
This record from the Alexandria database describes crystalline PuNiRh4 at its relaxed geometry. The functional is PBE.

Results
Its space group is Pmma, No. 51. For the energy of formation from the pure elements, the calculation gives -0.117 eV per atom.

The structure in POSCAR format:
```
PuNiRh4
1.0
7.5862 0.0000 0.0000
0.0000 3.8443 0.0000
0.0000 0.0000 6.5873
Pu Ni Rh
2 2 8
direct
0.2500 0.0000 0.1252
0.7500 0.0000 0.8748
0.2500 0.0000 0.7325
0.7500 0.0000 0.2675
0.0000 0.0000 0.5000
0.0418 0.5000 0.8012
0.2500 0.5000 0.4524
0.4582 0.5000 0.8012
0.5000 0.0000 0.5000
0.5418 0.5000 0.1988
0.7500 0.5000 0.5476
0.9582 0.5000 0.1988
```

[18]
This record from the Alexandria database describes crystalline InReAg at its relaxed geometry. The functional is PBE.

Results
Its space group is P3m1, No. 156. As for the energy above the most stable polymorph in this dataset: 0.128 eV per atom. For the energy of formation from the pure elements, the calculation gives 0.709 eV per atom.

The structure in POSCAR format:
```
InReAg
1.0
4.6952 0.0000 0.0000
-2.3476 4.0662 0.0000
0.0000 0.0000 2.7883
In Re Ag
1 1 1
direct
0.0000 0.0000 0.0000
0.6667 0.3333 0.5035
0.3333 0.6667 0.0053
```

[19]
This record from the Alexandria database describes crystalline SbTe2MoI at its relaxed geometry. The functional is PBE.

Results
Its space group is P4/mmm, No. 123. The value obtained for the uncorrected formation energy is 1.63 eV/atom. As for the energy above the most stable polymorph in this dataset: 1.328 eV per atom.

The structure in POSCAR format:
```
SbTe2MoI
1.0
5.7592 0.0000 0.0000
0.0000 5.7592 0.0000
0.0000 0.0000 5.8180
Sb Te Mo I
1 2 1 1
direct
0.0000 0.0000 0.0000
0.0000 0.5000 0.5000
0.5000 0.0000 0.5000
0.5000 0.5000 0.0000
0.0000 0.0000 0.5000
```

[20]
This record from the Alexandria database describes crystalline ScCo2HW at its relaxed geometry. The functional is PBE.

Results
Its space group is P4/mmm, No. 123.

The structure in POSCAR format:
```
ScCo2HW
1.0
4.5981 0.0000 0.0000
0.0000 4.5981 0.0000
0.0000 0.0000 3.0770
Sc Co H W
1 2 1 1
direct
0.0000 0.0000 0.0000
0.0000 0.5000 0.0000
0.5000 0.0000 0.0000
0.0000 0.0000 0.5000
0.5000 0.5000 0.5000
```

[21]
This record from the Alexandria database describes crystalline TbInPtAu at its relaxed geometry. The functional is PBE.

Results
Its space group is F-43m, No. 216. For the energy of formation from the pure elements, the calculation gives -0.797 eV per atom.

The structure in POSCAR format:
```
TbInPtAu
1.0
0.0000 3.4610 3.4610
3.4610 0.0000 3.4610
3.4610 3.4610 0.0000
Tb In Pt Au
1 1 1 1
direct
0.0000 0.0000 0.0000
0.5000 0.5000 0.5000
0.2500 0.2500 0.2500
0.7500 0.7500 0.7500
```

[22]
This record from the Alexandria database describes crystalline Rb4CeSm3Se8 at its relaxed geometry. The functional is PBE.

Results
Its space group is R-3m, No. 166. The value obtained for the uncorrected formation energy is -1.72 eV/atom.

The structure in POSCAR format:
```
Rb4CeSm3Se8
1.0
4.3527 2.5130 8.0048
-4.3527 2.5130 8.0048
0.0000 -5.0261 8.0048
Rb Ce Sm Se
4 1 3 8
direct
0.0000 0.0000 0.0000
0.0000 0.5000 0.5000
0.5000 0.0000 0.5000
0.5000 0.5000 0.0000
0.5000 0.5000 0.5000
0.0000 0.0000 0.5000
0.0000 0.5000 0.0000
0.5000 0.0000 0.0000
0.2301 0.7346 0.7346
0.2329 0.2329 0.2329
0.2654 0.2654 0.7699
0.2654 0.7699 0.2654
0.7346 0.2301 0.7346
0.7346 0.7346 0.2301
0.7671 0.7671 0.7671
0.7699 0.2654 0.2654
```

[23]
This record from the Alexandria database describes crystalline SiTeW at its relaxed geometry. The functional is PBE.

Results
Its space group is I4mm, No. 107. The value obtained for the uncorrected formation energy is 0.45 eV/atom. As for the energy above the most stable polymorph in this dataset: 0.116 eV per atom.

The structure in POSCAR format:
```
SiTeW
1.0
-1.6140 1.6140 5.9696
1.6140 -1.6140 5.9696
1.6140 1.6140 -5.9696
Si Te W
1 1 1
direct
0.0000 0.0000 0.0000
0.2494 0.2494 0.0000
0.6038 0.6038 0.0000
```

In the order shown, the computed total DFT energy (no corrections) values come out to -2.9752; -8.3240; -10.0036; -7.8066; -2.4368; -4.7249; -4.8725; -4.0078; -3.2339; -3.8977; -3.5921; -4.1144; -7.6810; -2.0305; -4.7077; -5.9950; -8.3697; -5.3031; -2.9302; -6.4692; -4.9685; -4.9604; -6.7205 eV/atom.